Entry A
TaCuAgSb | PBE-GGA | relaxed

Cell lengths 6.6506, 6.6506, 6.6506 Å; angles 90.00, 90.00, 90.00 degrees
Last column: nearest neighbours and their distance in Å.
Space group F-43m (No. 216)
Symmetry-distinct sites (fractional):
Ta 0.0000 0.0000 0.0000 (multiplicity 4)  4 Cu 2.88, 4 Ag 2.88
Cu 0.2500 0.2500 0.7500 (multiplicity 4)  4 Ta 2.88, 4 Sb 2.88
Ag 0.2500 0.2500 0.2500 (multiplicity 4)  4 Ta 2.88, 4 Sb 2.88
Sb 0.0000 0.0000 0.5000 (multiplicity 4)  4 Cu 2.88, 4 Ag 2.88

Crystal system = cubic
Calculated density = 10706 kg/m³
Magnetic moment = 0.361 μB/atom

---

Entry B
TaCuAgSb | PBE-GGA | relaxed

Cell lengths 6.6075, 6.6075, 6.6075 Å; angles 90.00, 90.00, 90.00 degrees
Last column: nearest neighbours and their distance in Å.
Space group F-43m (No. 216)
Symmetry-distinct sites (fractional):
Ta 0.0000 0.0000 0.0000 (multiplicity 4)  4 Sb 2.86, 4 Ag 2.86
Cu 0.0000 0.0000 0.5000 (multiplicity 4)  4 Sb 2.86, 4 Ag 2.86
Ag 0.2500 0.2500 0.7500 (multiplicity 4)  4 Ta 2.86, 4 Cu 2.86
Sb 0.2500 0.2500 0.2500 (multiplicity 4)  4 Ta 2.86, 4 Cu 2.86

Crystal system = cubic
Calculated density = 10917 kg/m³
Magnetic moment = 0.002 μB/atom

---

Name the least stable of them. entry A.

---

Entry A
ScCuAg | PBE-GGA | relaxed

Cell lengths 3.4250, 3.4250, 8.6938 Å; angles 90.00, 90.00, 90.00 degrees
Last column: nearest neighbours and their distance in Å.
Space group P4/nmm (No. 129, origin choice 2)
Symmetry-distinct sites (fractional):
Sc 0.2500 0.2500 0.2318 (multiplicity 2)  5 Cu 2.67-2.78, 4 Ag 2.88
Cu 0.2500 0.2500 0.9251 (multiplicity 2)  5 Sc 2.67-2.78, 4 Cu 2.75, 1 Ag 2.92
Ag 0.2500 0.2500 0.5894 (multiplicity 2)  5 Sc 2.88-3.11, 4 Ag 2.88, 1 Cu 2.92

Crystal system = tetragonal
Calculated density = 7046 kg/m³
Magnetic moment = 0.000 μB/atom

---

Entry B
ScCuAg | PBE-GGA | relaxed

Cell lengths 3.4174, 3.4174, 8.7421 Å; angles 90.00, 90.00, 90.00 degrees
Last column: nearest neighbours and their distance in Å.
Space group I4mm (No. 107)
Symmetry-distinct sites (fractional):
Sc 0.0000 0.0000 0.0000 (multiplicity 2)  5 Cu 2.79-2.97, 5 Ag 2.82-2.87
Cu 0.0000 0.0000 0.6597 (multiplicity 2)  5 Sc 2.79-2.97, 5 Ag 2.80-2.95
Ag 0.0000 0.0000 0.3226 (multiplicity 2)  5 Cu 2.80-2.95, 5 Sc 2.82-2.87

Crystal system = tetragonal
Calculated density = 7038 kg/m³
Magnetic moment = 0.001 μB/atom

---

Name the least stable of them. entry B.

---

Entry A
ScCuSiAg | PBE-GGA | relaxed

Cell lengths 6.3338, 6.3338, 6.3338 Å; angles 90.00, 90.00, 90.00 degrees
Last column: nearest neighbours and their distance in Å.
Space group F-43m (No. 216)
Symmetry-distinct sites (fractional):
Sc 0.0000 0.0000 0.0000 (multiplicity 4)  4 Cu 2.74, 4 Ag 2.74
Cu 0.2500 0.2500 0.7500 (multiplicity 4)  4 Sc 2.74, 4 Si 2.74
Si 0.0000 0.0000 0.5000 (multiplicity 4)  4 Cu 2.74, 4 Ag 2.74
Ag 0.2500 0.2500 0.2500 (multiplicity 4)  4 Sc 2.74, 4 Si 2.74

Crystal system = cubic
Calculated density = 6390 kg/m³
Magnetic moment = 0.000 μB/atom

---

Entry B
ScCuSiAg | PBE-GGA | relaxed

Cell lengths 6.3785, 6.3785, 6.3785 Å; angles 90.00, 90.00, 90.00 degrees
Last column: nearest neighbours and their distance in Å.
Space group F-43m (No. 216)
Symmetry-distinct sites (fractional):
Sc 0.0000 0.0000 0.0000 (multiplicity 4)  4 Si 2.76, 4 Ag 2.76
Cu 0.0000 0.0000 0.5000 (multiplicity 4)  4 Si 2.76, 4 Ag 2.76
Si 0.2500 0.2500 0.7500 (multiplicity 4)  4 Cu 2.76, 4 Sc 2.76
Ag 0.2500 0.2500 0.2500 (multiplicity 4)  4 Sc 2.76, 4 Cu 2.76

Crystal system = cubic
Calculated density = 6257 kg/m³
Magnetic moment = 0.000 μB/atom

---

Name the least stable of them. entry A.

---

Entry A
ScCuAgSn | PBE-GGA | relaxed

Cell lengths 6.6798, 6.6798, 6.6798 Å; angles 90.00, 90.00, 90.00 degrees
Last column: nearest neighbours and their distance in Å.
Space group F-43m (No. 216)
Symmetry-distinct sites (fractional):
Sc 0.0000 0.0000 0.0000 (multiplicity 4)  4 Sn 2.89, 4 Ag 2.89
Cu 0.0000 0.0000 0.5000 (multiplicity 4)  4 Ag 2.89, 4 Sn 2.89
Ag 0.2500 0.2500 0.7500 (multiplicity 4)  4 Sc 2.89, 4 Cu 2.89
Sn 0.2500 0.2500 0.2500 (multiplicity 4)  4 Sc 2.89, 4 Cu 2.89

Crystal system = cubic
Calculated density = 7467 kg/m³
Magnetic moment = 0.000 μB/atom

---

Entry B
ScCuAgSn | PBE-GGA | relaxed

Cell lengths 6.6461, 6.6461, 6.6461 Å; angles 90.00, 90.00, 90.00 degrees
Last column: nearest neighbours and their distance in Å.
Space group F-43m (No. 216)
Symmetry-distinct sites (fractional):
Sc 0.0000 0.0000 0.0000 (multiplicity 4)  4 Cu 2.88, 4 Ag 2.88
Cu 0.2500 0.2500 0.7500 (multiplicity 4)  4 Sn 2.88, 4 Sc 2.88
Ag 0.2500 0.2500 0.2500 (multiplicity 4)  4 Sn 2.88, 4 Sc 2.88
Sn 0.0000 0.0000 0.5000 (multiplicity 4)  4 Cu 2.88, 4 Ag 2.88

Crystal system = cubic
Calculated density = 7581 kg/m³
Magnetic moment = 0.000 μB/atom

---

Name the least stable of them. entry A.

---

Entry A
ZrCuAgSe3 | PBE-GGA | relaxed

Cell lengths 3.8205, 13.0837, 10.1740 Å; angles 90.00, 90.00, 90.00 degrees
Last column: nearest neighbours and their distance in Å.
Space group Cmcm (No. 63)
Symmetry-distinct sites (fractional):
Zr 0.0000 0.0000 0.0000 (multiplicity 4)  6 Se 2.72-2.80
Cu 0.0000 0.4693 0.2500 (multiplicity 4)  4 Se 2.45-2.48
Ag 0.0000 0.2122 0.7500 (multiplicity 4)  6 Se 2.90-3.22, 2 Cu 3.05
Se 0.0000 0.0901 0.2500 (multiplicity 4)  2 Cu 2.48
Se 0.0000 0.3588 0.0553 (multiplicity 8)  1 Cu 2.45, 2 Zr 2.72

Crystal system = orthorhombic
Calculated density = 6524 kg/m³
Magnetic moment = 0.002 μB/atom

---

Entry B
ZrCuAgSe3 | PBE-GGA | relaxed

Cell lengths 7.5622, 3.8378, 9.3220 Å; angles 90.00, 104.38, 90.00 degrees
Last column: nearest neighbours and their distance in Å.
Space group P2_1/m (No. 11)
Symmetry-distinct sites (fractional):
Zr 0.1901 0.2500 0.1814 (multiplicity 2)  6 Se 2.66-2.86
Cu 0.4158 0.7500 0.4091 (multiplicity 2)  4 Se 2.41-2.57, 2 Cu 2.67
Ag 0.1971 0.7500 0.6896 (multiplicity 2)  4 Se 2.78-2.84
Se 0.0847 0.2500 0.8646 (multiplicity 2)  3 Zr 2.78-2.86, 2 Ag 2.78
Se 0.2376 0.2500 0.4750 (multiplicity 2)  3 Cu 2.51-2.57, 1 Zr 2.67
Se 0.4222 0.7500 0.1524 (multiplicity 2)  1 Cu 2.41, 2 Zr 2.66

Crystal system = monoclinic
Calculated density = 6330 kg/m³
Magnetic moment = 0.001 μB/atom

---

Name the least stable of them. entry A.

---

Entry A
TaCuSiAg | PBE-GGA | relaxed

Cell lengths 6.2719, 6.2719, 6.2719 Å; angles 90.00, 90.00, 90.00 degrees
Last column: nearest neighbours and their distance in Å.
Space group F-43m (No. 216)
Symmetry-distinct sites (fractional):
Ta 0.0000 0.0000 0.0000 (multiplicity 4)  4 Ag 2.72, 4 Si 2.72
Cu 0.0000 0.0000 0.5000 (multiplicity 4)  4 Si 2.72, 4 Ag 2.72
Si 0.2500 0.2500 0.2500 (multiplicity 4)  4 Ta 2.72, 4 Cu 2.72
Ag 0.2500 0.2500 0.7500 (multiplicity 4)  4 Ta 2.72, 4 Cu 2.72

Crystal system = cubic
Calculated density = 10242 kg/m³
Magnetic moment = 0.000 μB/atom

---

Entry B
TaCuSiAg | PBE-GGA | relaxed

Cell lengths 6.2975, 6.2975, 6.2975 Å; angles 90.00, 90.00, 90.00 degrees
Last column: nearest neighbours and their distance in Å.
Space group F-43m (No. 216)
Symmetry-distinct sites (fractional):
Ta 0.0000 0.0000 0.0000 (multiplicity 4)  4 Cu 2.73, 4 Ag 2.73
Cu 0.2500 0.2500 0.7500 (multiplicity 4)  4 Ta 2.73, 4 Si 2.73
Si 0.0000 0.0000 0.5000 (multiplicity 4)  4 Cu 2.73, 4 Ag 2.73
Ag 0.2500 0.2500 0.2500 (multiplicity 4)  4 Ta 2.73, 4 Si 2.73

Crystal system = cubic
Calculated density = 10118 kg/m³
Magnetic moment = 0.187 μB/atom

---

Name the least stable of them. entry B.